The following is a GGA-PBE calculation of a relaxed structure of NiSbAs2Pd, from the Alexandria database.

Cell lengths 5.2739, 4.8955, 5.2739 Å; angles 90.00, 90.00, 90.00 degrees
Closest atoms and distances in Å follow each position.
Fractional positions:
Sb: 0.0000 0.0000 0.0000  2 Pd 2.45, 4 As 2.64
Ni: 0.5000 0.5000 0.5000  8 As 3.60, 4 Pd 3.73
As: 0.5000 0.0000 0.0000  2 Sb 2.64
As: 0.0000 0.0000 0.5000  2 Sb 2.64
Pd: 0.0000 0.5000 0.0000  2 Sb 2.45

DOS at the Fermi energy	1.21	states/eV/atom
VASP energy	-3.651	eV/atom
E_form (uncorrected)	1.23	eV per atom
space-group type	P4/mmm, No. 123

The following is a GGA-PBE calculation of a relaxed structure of NiSb2AsPd, from the Alexandria database.

Cell lengths 5.3772, 4.2327, 5.3772 Å; angles 90.00, 90.00, 90.00 degrees
Closest atoms and distances in Å follow each position.
Fractional positions:
Ni: 0.0000 0.5000 0.0000  2 As 2.12
Sb: 0.5000 0.0000 0.0000  2 As 2.69
Sb: 0.0000 0.0000 0.5000  2 As 2.69
As: 0.0000 0.0000 0.0000  2 Ni 2.12
Pd: 0.5000 0.5000 0.5000  8 Sb 3.42, 4 Ni 3.80

DOS at the Fermi energy	0.93	states/eV/atom
VASP energy	-4.139	eV/atom
E_form (uncorrected)	0.63	eV per atom
space-group type	P4/mmm, No. 123

The following is a GGA-PBE calculation of a relaxed structure of NiAsPdSe2, from the Alexandria database.

Cell lengths 4.7784, 4.7784, 4.4086 Å; angles 90.00, 90.00, 90.00 degrees
Closest atoms and distances in Å follow each position.
Fractional positions:
Se: 0.5000 0.0000 0.0000  2 Ni 2.39
Se: 0.0000 0.5000 0.0000  2 Ni 2.39
Ni: 0.0000 0.0000 0.0000  2 As 2.20, 4 Se 2.39
Pd: 0.5000 0.5000 0.5000  8 Se 3.25, 4 As 3.38
As: 0.0000 0.0000 0.5000  2 Ni 2.20

DOS at the Fermi energy	1.02	states/eV/atom
VASP energy	-4.069	eV/atom
E_form (uncorrected)	0.45	eV per atom
space-group type	P4/mmm, No. 123

The following is a GGA-PBE calculation of a relaxed structure of NiAsPdSe2, from the Alexandria database.

Cell lengths 5.0409, 5.0409, 4.6576 Å; angles 90.00, 90.00, 90.00 degrees
Closest atoms and distances in Å follow each position.
Fractional positions:
Se: 0.5000 0.0000 0.0000  2 Pd 2.52
Se: 0.0000 0.5000 0.0000  2 Pd 2.52
Ni: 0.5000 0.5000 0.5000  8 Se 3.43, 4 As 3.56
Pd: 0.0000 0.0000 0.0000  2 As 2.33, 4 Se 2.52
As: 0.0000 0.0000 0.5000  2 Pd 2.33

DOS at the Fermi energy	1.40	states/eV/atom
VASP energy	-3.676	eV/atom
E_form (uncorrected)	0.84	eV per atom
space-group type	P4/mmm, No. 123

The following is a GGA-PBE calculation of a relaxed structure of SrNiAsPd2, from the Alexandria database.

Cell lengths 4.8395, 4.8395, 4.4738 Å; angles 90.00, 90.00, 90.00 degrees
Closest atoms and distances in Å follow each position.
Fractional positions:
Ni: 0.0000 0.0000 0.5000  2 As 2.24
As: 0.0000 0.0000 0.0000  2 Ni 2.24, 4 Pd 2.42
Pd: 0.0000 0.5000 0.0000  2 As 2.42
Pd: 0.5000 0.0000 0.0000  2 As 2.42
Sr: 0.5000 0.5000 0.5000  8 Pd 3.30, 4 Ni 3.42

DOS at the Fermi energy	0.93	states/eV/atom
VASP energy	-4.889	eV/atom
formation enthalpy at 0 K	-1.9	eV/f.u.
space-group type	P4/mmm, No. 123

The following is a GGA-PBE calculation of a relaxed structure of Tb2Ni4As3Pd, from the Alexandria database.

Cell lengths 4.0485, 4.0485, 9.9018 Å; angles 90.00, 90.00, 90.00 degrees
Closest atoms and distances in Å follow each position.
Fractional positions:
Ni: 0.0000 0.0000 0.0000  4 As 2.40
Ni: 0.5000 0.0000 0.6404  3 As 2.28-2.46, 2 Pd 2.46
Ni: 0.0000 0.5000 0.3596  3 As 2.28-2.46, 2 Pd 2.46
Ni: 0.5000 0.5000 0.0000  4 As 2.40
As: 0.0000 0.0000 0.5000  4 Ni 2.46
As: 0.5000 0.0000 0.8704  5 Ni 2.28-2.40
As: 0.0000 0.5000 0.1296  5 Ni 2.28-2.40
Tb: 0.0000 0.5000 0.7531  8 Ni 3.07-3.17, 6 As 3.09-3.22, 2 Pd 3.22
Tb: 0.5000 0.0000 0.2469  8 Ni 3.07-3.17, 6 As 3.09-3.22, 2 Pd 3.22
Pd: 0.5000 0.5000 0.5000  4 Ni 2.46

DOS at the Fermi energy	0.75	states/eV/atom
VASP energy	-5.897	eV/atom
formation enthalpy at 0 K	-7.4	eV/f.u.
space-group type	P-4m2, No. 115

The following is a GGA-PBE calculation of a relaxed structure of Tb2Ni3As4Pd, from the Alexandria database.

Cell lengths 4.2251, 4.2251, 9.5030 Å; angles 90.00, 90.00, 90.00 degrees
Closest atoms and distances in Å follow each position.
Fractional positions:
As: 0.0000 0.0000 0.0000  4 Ni 2.38
As: 0.5000 0.5000 0.0000  4 Ni 2.38
As: 0.0000 0.5000 0.3599  3 Ni 2.32-2.50, 2 Pd 2.50
As: 0.5000 0.0000 0.6401  3 Ni 2.32-2.50, 2 Pd 2.50
Tb: 0.0000 0.5000 0.7537  8 As 3.15-3.18, 7 Ni 3.21-3.44, 2 Pd 3.21
Tb: 0.5000 0.0000 0.2463  8 As 3.15-3.18, 7 Ni 3.21-3.44, 2 Pd 3.21
Ni: 0.5000 0.0000 0.8844  5 As 2.32-2.38
Ni: 0.0000 0.0000 0.5000  4 As 2.50
Ni: 0.0000 0.5000 0.1156  5 As 2.32-2.38
Pd: 0.5000 0.5000 0.5000  4 As 2.50

DOS at the Fermi energy	0.33	states/eV/atom
VASP energy	-5.850	eV/atom
formation enthalpy at 0 K	-8.1	eV/f.u.
space-group type	P-4m2, No. 115

The following is a GGA-PBE calculation of a relaxed structure of Th2Ni12As3Pd, from the Alexandria database.

Cell lengths 6.4341, 6.4341, 6.4341 Å; angles 85.16, 85.16, 85.16 degrees
Closest atoms and distances in Å follow each position.
Fractional positions:
Th: 0.3251 0.3251 0.3251  9 Ni 2.57-2.86
Th: 0.6749 0.6749 0.6749  9 Ni 2.57-2.86
Ni: 0.8808 0.3951 0.3951  1 Ni 2.36, 2 As 2.64
Ni: 0.8071 0.3024 0.8071  1 As 2.34, 3 Ni 2.36-2.58, 1 Pd 2.51, 1 Th 2.57
Ni: 0.1192 0.6049 0.6049  1 Ni 2.36, 2 As 2.64
Ni: 0.6049 0.1192 0.6049  1 Ni 2.36, 2 As 2.64
Ni: 0.6976 0.1929 0.1929  1 As 2.34, 3 Ni 2.36-2.58, 1 Pd 2.51, 1 Th 2.57
Ni: 0.3951 0.8808 0.3951  1 Ni 2.36, 2 As 2.64
Ni: 0.1929 0.6976 0.1929  1 As 2.34, 3 Ni 2.36-2.58, 1 Pd 2.51, 1 Th 2.57
Ni: 0.1929 0.1929 0.6976  1 As 2.34, 3 Ni 2.36-2.58, 1 Pd 2.51, 1 Th 2.57
Ni: 0.8071 0.8071 0.3024  1 As 2.34, 3 Ni 2.36-2.58, 1 Pd 2.51, 1 Th 2.57
Ni: 0.6049 0.6049 0.1192  1 Ni 2.36, 2 As 2.64
Ni: 0.3951 0.3951 0.8808  1 Ni 2.36, 2 As 2.64
Ni: 0.3024 0.8071 0.8071  1 As 2.34, 3 Ni 2.36-2.58, 1 Pd 2.51, 1 Th 2.57
As: 0.0000 0.5000 0.0000  2 Ni 2.34
As: 0.0000 0.0000 0.5000  2 Ni 2.34
As: 0.5000 0.0000 0.0000  2 Ni 2.34
Pd: 0.0000 0.0000 0.0000  6 Ni 2.51

DOS at the Fermi energy	0.92	states/eV/atom
VASP energy	-5.835	eV/atom
formation enthalpy at 0 K	-1.7	eV/f.u.
space-group type	R-3m, No. 166

The following is a GGA-PBE calculation of a relaxed structure of Th2Ni3As4Pd, from the Alexandria database.

Cell lengths 4.3137, 4.3137, 9.4548 Å; angles 90.00, 90.00, 90.00 degrees
Closest atoms and distances in Å follow each position.
Fractional positions:
Ni: 0.0000 0.5000 0.1126  5 As 2.35-2.41
Ni: 0.0000 0.0000 0.5000  4 As 2.53
Ni: 0.5000 0.0000 0.8874  5 As 2.35-2.41
Th: 0.5000 0.0000 0.2493  8 As 3.19-3.23, 7 Ni 3.20-3.42, 2 Pd 3.20
Th: 0.0000 0.5000 0.7507  8 As 3.19-3.23, 7 Ni 3.20-3.42, 2 Pd 3.20
As: 0.0000 0.0000 0.0000  4 Ni 2.41
As: 0.0000 0.5000 0.3608  3 Ni 2.35-2.53, 2 Pd 2.53
As: 0.5000 0.5000 0.0000  4 Ni 2.41
As: 0.5000 0.0000 0.6392  3 Ni 2.35-2.53, 2 Pd 2.53
Pd: 0.5000 0.5000 0.5000  4 As 2.53

DOS at the Fermi energy	0.75	states/eV/atom
VASP energy	-6.434	eV/atom
formation enthalpy at 0 K	-8.4	eV/f.u.
space-group type	P-4m2, No. 115

The following is a GGA-PBE calculation of a relaxed structure of Th2Ni4As3Pd, from the Alexandria database.

Cell lengths 4.1183, 4.1183, 9.9364 Å; angles 90.00, 90.00, 90.00 degrees
Closest atoms and distances in Å follow each position.
Fractional positions:
Ni: 0.0000 0.0000 0.0000  4 As 2.41
Ni: 0.0000 0.5000 0.3578  3 As 2.31-2.50, 2 Pd 2.50
Ni: 0.5000 0.0000 0.6422  3 As 2.31-2.50, 2 Pd 2.50
Ni: 0.5000 0.5000 0.0000  4 As 2.41
Th: 0.0000 0.5000 0.7525  8 Ni 3.11-3.21, 6 As 3.15-3.25, 2 Pd 3.25
Th: 0.5000 0.0000 0.2475  8 Ni 3.11-3.21, 6 As 3.15-3.25, 2 Pd 3.25
As: 0.0000 0.5000 0.1256  5 Ni 2.31-2.41
As: 0.0000 0.0000 0.5000  4 Ni 2.50
As: 0.5000 0.0000 0.8744  5 Ni 2.31-2.41
Pd: 0.5000 0.5000 0.5000  4 Ni 2.50

DOS at the Fermi energy	0.59	states/eV/atom
VASP energy	-6.497	eV/atom
formation enthalpy at 0 K	-7.9	eV/f.u.
space-group type	P-4m2, No. 115

The following is a GGA-PBE calculation of a relaxed structure of Th2NiAs4Pd3, from the Alexandria database.

Cell lengths 4.2819, 4.2819, 10.4016 Å; angles 90.00, 90.00, 90.00 degrees
Closest atoms and distances in Å follow each position.
Fractional positions:
Pd: 0.5000 0.0000 0.8603  5 As 2.45-2.59
Pd: 0.0000 0.5000 0.1397  5 As 2.45-2.59
Pd: 0.0000 0.0000 0.5000  4 As 2.51
Th: 0.5000 0.0000 0.2643  8 As 3.24-3.48, 2 Ni 3.26, 6 Pd 3.26-3.29
Th: 0.0000 0.5000 0.7357  8 As 3.24-3.48, 2 Ni 3.26, 6 Pd 3.26-3.29
As: 0.0000 0.0000 0.0000  4 Pd 2.59
As: 0.5000 0.5000 0.0000  4 Pd 2.59
As: 0.5000 0.0000 0.6253  3 Pd 2.45-2.51, 2 Ni 2.51
As: 0.0000 0.5000 0.3747  3 Pd 2.45-2.51, 2 Ni 2.51
Ni: 0.5000 0.5000 0.5000  4 As 2.51

DOS at the Fermi energy	0.43	states/eV/atom
VASP energy	-6.275	eV/atom
formation enthalpy at 0 K	-8.0	eV/f.u.
space-group type	P-4m2, No. 115

The following is a GGA-PBE calculation of a relaxed structure of UNiAsPd, from the Alexandria database.

Cell lengths 4.6124, 4.6124, 4.6124 Å; angles 60.00, 60.00, 60.00 degrees
Closest atoms and distances in Å follow each position.
Fractional positions:
Ni: 0.2500 0.2500 0.2500  4 U 2.82, 4 Pd 2.82
As: 0.7500 0.7500 0.7500  4 U 2.82, 4 Pd 2.82
Pd: 0.5000 0.5000 0.5000  4 Ni 2.82, 4 As 2.82
U: 0.0000 0.0000 0.0000  4 As 2.82, 4 Ni 2.82

DOS at the Fermi energy	2.09	states/eV/atom
VASP energy	-6.949	eV/atom
formation enthalpy at 0 K	-0.9	eV/f.u.
space-group type	F-43m, No. 216

Q: Which of these has the highest VASP energy?
A: NiSbAs2Pd

Q: Which value of VASP energy does entry 9 give?
A: -6.434 eV/atom

Q: Which of these has the highest VASP energy?
A: NiSbAs2Pd

Q: Among the records above, which one has the lowest VASP energy?
A: UNiAsPd